No. 1
Computed, not measured: Ta4InAsN2 after structural relaxation at the PBE level of DFT.

Cell lengths 3.255, 3.255, 12.970 Å; angles 90.00, 90.00, 120.00 degrees
Positions (direct):
Ta  0.333  0.667  0.646
Ta  0.000  0.000  0.818
Ta  0.000  0.000  0.182
Ta  0.333  0.667  0.354
As  0.000  0.000  0.500
N  0.667  0.333  0.735
N  0.667  0.333  0.265
In  0.333  0.667  0.000

As for the space group: P-6m2. For the energy, the calculation gives -9.43 eV per atom.


No. 2
Computed, not measured: TbSeS after structural relaxation at the PBE level of DFT.

Cell lengths 4.150, 10.781, 10.781 Å; angles 140.99, 90.00, 90.00 degrees
Positions (direct):
S  0.000  0.678  0.817
S  0.000  0.817  0.678
Se  0.500  0.324  0.174
Se  0.500  0.174  0.324
Tb  0.500  0.589  0.589
Tb  0.000  0.074  0.074

As for the space group: Amm2. For the energy, the calculation gives -5.29 eV per atom.


No. 3
Computed, not measured: ZrCoB4 after structural relaxation at the PBE level of DFT.

Cell lengths 5.781, 11.226, 3.248 Å; angles 90.00, 90.00, 90.00 degrees
Positions (direct):
B  0.886  0.047  0.500
B  0.386  0.453  0.500
B  0.288  0.187  0.500
B  0.476  0.307  0.500
B  0.614  0.547  0.500
B  0.367  0.033  0.500
B  0.024  0.807  0.500
B  0.633  0.967  0.500
B  0.867  0.467  0.500
B  0.712  0.813  0.500
B  0.133  0.533  0.500
B  0.212  0.687  0.500
B  0.788  0.313  0.500
B  0.524  0.693  0.500
B  0.114  0.953  0.500
B  0.976  0.193  0.500
Co  0.364  0.589  0.000
Co  0.864  0.911  0.000
Co  0.136  0.089  0.000
Co  0.636  0.411  0.000
Zr  0.127  0.349  0.000
Zr  0.627  0.151  0.000
Zr  0.373  0.849  0.000
Zr  0.873  0.651  0.000

As for the space group: Pbam. For the energy, the calculation gives -7.70 eV per atom.


No. 4
Computed, not measured: NiP2 after structural relaxation at the PBE level of DFT.

Cell lengths 6.678, 3.171, 7.761 Å; angles 90.00, 90.00, 90.00 degrees
Positions (direct):
P  0.954  0.750  0.855
P  0.046  0.250  0.145
P  0.454  0.750  0.645
P  0.546  0.750  0.145
P  0.546  0.250  0.355
P  0.046  0.750  0.355
P  0.954  0.250  0.645
P  0.454  0.250  0.855
Ni  0.750  0.250  0.000
Ni  0.250  0.750  0.000
Ni  0.250  0.250  0.500
Ni  0.750  0.750  0.500

As for the space group: Cmce. For the energy, the calculation gives -5.61 eV per atom.


No. 5
Computed, not measured: AsPAuO after structural relaxation at the PBE level of DFT.

Cell lengths 3.829, 3.829, 8.745 Å; angles 90.00, 90.00, 90.00 degrees
Positions (direct):
O  0.250  0.750  0.000
O  0.750  0.250  0.000
As  0.750  0.750  0.883
As  0.250  0.250  0.117
Au  0.250  0.750  0.500
Au  0.750  0.250  0.500
P  0.750  0.750  0.299
P  0.250  0.250  0.701

As for the space group: P4/nmm. For the energy, the calculation gives -4.50 eV per atom.